1.
The following is a DFT calculation (PBE) of a relaxed structure of La3TmBi4.

Output
The value obtained for the uncorrected energy is -42.581 eV per cell. Its space-group type is Cmmm, No. 65.

extended XYZ file:
```
8
Lattice="4.635 -6.560 0.000 4.635 6.560 0.000 0.000 0.000 4.649" Properties=species:S:1:pos:R:3 pbc="T T T"
La 0.000 0.000 0.000
La 2.317 3.280 2.324
La 2.317 -3.280 2.324
Tm 4.635 0.000 0.000
Bi 4.635 3.210 0.000
Bi 2.415 0.000 2.324
Bi 6.854 0.000 2.324
Bi 4.635 -3.210 0.000
```

---

2.
The following is a DFT calculation (PBE) of a relaxed structure of LaTm3Bi2.

Output
The value obtained for the uncorrected energy is -58.647 eV per cell. Its space-group type is C2/m, No. 12.

extended XYZ file:
```
12
Lattice="7.813 -2.351 0.000 7.813 2.351 0.000 -4.697 0.000 10.408" Properties=species:S:1:pos:R:3 pbc="T T T"
La 1.832 0.000 0.672
La 9.097 0.000 9.736
Tm -1.014 0.000 3.732
Tm 1.542 0.000 6.372
Tm 4.162 0.000 3.966
Tm 6.767 0.000 6.443
Tm 9.387 0.000 4.036
Tm 11.943 0.000 6.676
Bi -0.764 0.000 8.543
Bi 3.771 0.000 8.767
Bi 7.158 0.000 1.641
Bi 11.693 0.000 1.865
```

---

3.
The following is a DFT calculation (PBE) of a relaxed structure of LaTmBi.

Output
The value obtained for the uncorrected energy is -14.334 eV per cell. Its space-group type is P3m1, No. 156.

extended XYZ file:
```
3
Lattice="5.267 0.000 0.000 -2.633 4.561 0.000 0.000 0.000 4.140" Properties=species:S:1:pos:R:3 pbc="T T T"
La 0.000 0.000 0.000
Tm 0.000 3.041 2.010
Bi 2.633 1.520 2.288
```

---

How do the records compare in E_form? In the order shown, they have -0.975, -0.537, -0.351 eV/atom.